# Li2CdHg2

A crystal of Li2CdHg2 relaxed with PBEsol (meta-GGA SCAN, Alexandria via LeMat-Bulk).

Calculated values
**E_tot**: -346.1 eV/cell
**DOS at the Fermi energy**: 3.2 states/eV per cell
**Energy relative to the elements**: -0.30 eV/atom

Geometry as CIF:
```
data_Li2CdHg2
_chemical_formula_sum 'Li4 Cd2 Hg4'
_symmetry_space_group_name_H-M 'P 1'
_symmetry_Int_Tables_number 1
_symmetry_space_group_name_Hall 'P 1'
_cell_length_a 3.205
_cell_length_b 7.545
_cell_length_c 7.545
_cell_angle_alpha 90.00
_cell_angle_beta 90.00
_cell_angle_gamma 90.00
loop_
_atom_site_label
_atom_site_fract_x
_atom_site_fract_y
_atom_site_fract_z
Hg1 0.500 0.846 0.346
Hg2 0.500 0.346 0.154
Hg3 0.500 0.154 0.654
Hg4 0.500 0.654 0.846
Li1 0.000 0.640 0.140
Li2 0.000 0.860 0.640
Li3 0.000 0.140 0.360
Li4 0.000 0.360 0.860
Cd1 0.000 0.500 0.500
Cd2 0.000 0.000 0.000
```